A relaxed structure of Na2MnReMo, computed with PBE-GGA.

Cell lengths 5.222, 5.222, 4.222 Å; angles 90.00, 90.00, 90.00 degrees
Space group P4/mmm (No. 123)
Unique sites:
Na1 0.000 0.500 0.000 x2
Mn1 0.000 0.000 0.500 x1
Re1 0.500 0.500 0.500 x1
Mo1 0.000 0.000 0.000 x1

Results
electronic total energy	-4.66	eV per atom
V	23.03	A^3/atom
total moment	3.683	μB per cell
ΔH_f (0 K)	2.353	eV/atom
mass density	5.5	g/cm³

A relaxed structure of NaMnMoRu2, computed with PBE-GGA.

Cell lengths 4.453, 4.453, 4.163 Å; angles 90.00, 90.00, 90.00 degrees
Space group P4/mmm (No. 123)
Unique sites:
Na1 0.000 0.000 0.000 x1
Mn1 0.000 0.000 0.500 x1
Mo1 0.500 0.500 0.500 x1
Ru1 0.000 0.500 0.000 x2

Results
electronic total energy	-5.86	eV per atom
V	16.51	A^3/atom
total moment	2.735	μB per cell
ΔH_f (0 K)	2.111	eV/atom
mass density	7.6	g/cm³

Q: Which value of electronic total energy does entry 1 give?
A: -4.66 eV per atom

Q: ΔH_f (0 K) of number 2 (NaMnMoRu2)?
A: 2.111 eV/atom